Record 1
First-principles (PBE) data for crystalline TcSb2Mo at its relaxed geometry, as listed in the Alexandria database.

```
TcSb2Mo
1.0
-2.701 1.954 -3.123
-4.436 0.264 -1.056
-1.503 4.719 2.599
Mo Sb Tc
1 2 1
direct
0.750 0.750 0.750
0.998 0.998 0.004
0.502 0.502 0.496
0.250 0.250 0.250
```

Spin magnetization in μB per cell: 0.00
Space group: C2/m, No. 12
Raw formation energy in kJ/mol of atoms: 33.65
Energy relative to the lowest polymorph listed for this composition in eV per atom: 0.282
Total DFT energy (no corrections) in eV for the cell shown: -28.0
DOS at the Fermi energy in states/eV/f.u.: 4.41

Record 2
First-principles (PBE) data for crystalline TcSb2TeMo at its relaxed geometry, as listed in the Alexandria database.

```
TcSb2TeMo
1.0
5.020 0.000 0.000
0.000 5.020 0.000
0.000 0.000 5.565
Sb Mo Te Tc
2 1 1 1
direct
0.000 0.500 0.000
0.500 0.000 0.000
0.500 0.500 0.500
0.000 0.000 0.500
0.000 0.000 0.000
```

Spin magnetization in μB per cell: 3.45
Space group: P4/mmm, No. 123
Raw formation energy in kJ/mol of atoms: 108.56
Energy relative to the lowest polymorph listed for this composition in eV per atom: 0.000
Total DFT energy (no corrections) in eV for the cell shown: -27.0
DOS at the Fermi energy in states/eV/f.u.: 4.32

Record 3
First-principles (PBE) data for crystalline UTcSbMo at its relaxed geometry, as listed in the Alexandria database.

```
UTcSbMo
1.0
-0.430 4.670 -0.615
-2.028 1.692 -3.924
-4.265 2.033 0.230
Sb Mo U Tc
1 1 1 1
direct
0.500 0.500 0.500
0.250 0.250 0.250
0.000 0.000 0.000
0.750 0.750 0.750
```

Spin magnetization in μB per cell: 0.62
Space group: F-43m, No. 216
Raw formation energy in kJ/mol of atoms: 6.89
Total DFT energy (no corrections) in eV for the cell shown: -36.3
DOS at the Fermi energy in states/eV/f.u.: 6.82

Record 4
First-principles (PBE) data for crystalline VTcSbMo at its relaxed geometry, as listed in the Alexandria database.

```
VTcSbMo
1.0
-2.028 -3.624 -1.666
1.070 -4.065 1.532
-2.916 -2.284 2.510
Sb Mo Tc V
1 1 1 1
direct
0.000 0.000 0.000
0.750 0.750 0.750
0.250 0.250 0.250
0.500 0.500 0.500
```

Spin magnetization in μB per cell: 0.00
Space group: F-43m, No. 216
Raw formation energy in kJ/mol of atoms: 0.28
Total DFT energy (no corrections) in eV for the cell shown: -34.4
DOS at the Fermi energy in states/eV/f.u.: 2.81

Record 5
First-principles (PBE) data for crystalline Tc2SbMoW at its relaxed geometry, as listed in the Alexandria database.

```
Tc2SbMoW
1.0
4.666 0.000 0.000
0.000 5.017 0.000
0.000 0.000 4.666
Sb Mo Tc W
1 1 2 1
direct
0.000 0.500 0.000
0.500 0.500 0.500
0.000 0.000 0.500
0.500 0.000 0.000
0.000 0.000 0.000
```

Spin magnetization in μB per cell: 0.59
Space group: P4/mmm, No. 123
Raw formation energy in kJ/mol of atoms: 190.77
Total DFT energy (no corrections) in eV for the cell shown: -38.8
DOS at the Fermi energy in states/eV/f.u.: 8.86

Record 6
First-principles (PBE) data for crystalline TcSb2MoW at its relaxed geometry, as listed in the Alexandria database.

```
TcSb2MoW
1.0
-2.918 -1.443 3.954
-0.619 -4.365 -2.050
4.159 -1.734 2.436
Sb Mo Tc W
2 1 1 1
direct
0.000 0.000 0.500
0.500 0.000 0.000
0.000 0.000 0.000
0.500 0.500 0.500
0.000 0.500 0.000
```

Spin magnetization in μB per cell: 1.45
Space group: P4/mmm, No. 123
Raw formation energy in kJ/mol of atoms: 172.64
Total DFT energy (no corrections) in eV for the cell shown: -33.4
DOS at the Fermi energy in states/eV/f.u.: 5.60

Record 7
First-principles (PBE) data for crystalline SbTe2Mo at its relaxed geometry, as listed in the Alexandria database.

```
SbTe2Mo
1.0
3.508 0.000 0.000
0.000 5.359 0.000
0.000 0.000 5.122
Mo Sb Te
1 1 2
direct
0.500 0.000 0.500
0.000 0.500 0.500
0.000 0.000 0.000
0.500 0.500 0.000
```

Spin magnetization in μB per cell: 2.32
Space group: Pmmm, No. 47
Raw formation energy in kJ/mol of atoms: 68.42
Total DFT energy (no corrections) in eV for the cell shown: -18.4
DOS at the Fermi energy in states/eV/f.u.: 3.52

Record 8
First-principles (PBE) data for crystalline SbTe2Mo at its relaxed geometry, as listed in the Alexandria database.

```
SbTe2Mo
1.0
6.937 0.000 0.000
0.000 6.937 0.000
3.469 3.469 5.665
Sb Mo Te
2 2 4
direct
0.000 0.000 0.000
0.750 0.250 0.500
0.500 0.500 0.000
0.250 0.750 0.500
0.568 0.125 0.250
0.182 0.625 0.250
0.375 0.432 0.750
0.875 0.818 0.750
```

Spin magnetization in μB per cell: 0.00
Space group: I-42d, No. 122
Raw formation energy in kJ/mol of atoms: 55.10
Total DFT energy (no corrections) in eV for the cell shown: -37.9
DOS at the Fermi energy in states/eV/f.u.: 5.67